1.
Compound: Sn2As2Pd5
Source: Alexandria via LeMat-Bulk
Functional: PBE
Structure: relaxed Values from VASP.

* symmetry: C2/m
* energy relative to the elements: -3.22 eV/f.u.
* final energy: -5.17 eV per atom

The structure in Quantum ESPRESSO input format:
```
&SYSTEM
  ibrav = 0, nat = 9, ntyp = 3
/
ATOMIC_SPECIES
Sn 118.71 Sn.upf
As 74.92 As.upf
Pd 106.42 Pd.upf
CELL_PARAMETERS angstrom
4.267 0.000 0.000
-2.134 6.507 -1.699
0.000 -3.015 7.182
ATOMIC_POSITIONS angstrom
Sn 0.000 2.385 3.843
Sn 2.134 1.107 1.640
As 0.000 -0.390 5.317
As 2.134 3.882 0.165
Pd 0.000 4.921 -0.593
Pd 2.134 -1.429 6.075
Pd 0.000 -0.226 2.828
Pd 2.134 3.718 2.655
Pd 0.000 0.000 0.000
```



2.
Compound: HgRu2Cl
Source: Alexandria via LeMat-Bulk
Functional: PBE
Structure: relaxed Values from VASP.

* symmetry: Pm
* energy relative to the lowest polymorph listed for this composition: 0.00 eV/f.u.
* final energy: -4.97 eV per atom
* raw formation energy: 0.21 eV per atom

The structure in Quantum ESPRESSO input format:
```
&SYSTEM
  ibrav = 0, nat = 4, ntyp = 3
/
ATOMIC_SPECIES
Cl 35.45 Cl.upf
Hg 200.59 Hg.upf
Ru 101.07 Ru.upf
CELL_PARAMETERS angstrom
2.929 0.000 0.000
0.000 2.962 -0.002
0.000 1.421 8.371
ATOMIC_POSITIONS angstrom
Cl 0.000 1.657 3.788
Hg 1.465 3.083 6.614
Ru 0.000 0.177 0.297
Ru 1.465 1.659 1.856
```



3.
Compound: CaNdSmZn
Source: Alexandria via LeMat-Bulk
Functional: PBE
Structure: relaxed Values from VASP.

* symmetry: P4mm
* energy relative to the elements: -0.48 eV/f.u.
* energy relative to the lowest polymorph listed for this composition: 0.00 eV/f.u.
* final energy: -3.31 eV per atom

The structure in Quantum ESPRESSO input format:
```
&SYSTEM
  ibrav = 0, nat = 4, ntyp = 4
/
ATOMIC_SPECIES
Ca 40.08 Ca.upf
Nd 144.24 Nd.upf
Sm 150.36 Sm.upf
Zn 65.41 Zn.upf
CELL_PARAMETERS angstrom
3.625 0.000 0.000
0.000 3.625 0.000
0.000 0.000 9.310
ATOMIC_POSITIONS angstrom
Ca 0.000 0.000 1.165
Nd 1.812 1.812 7.478
Sm 0.000 0.000 4.888
Zn 1.812 1.812 3.086
```



Q: What is the final energy in the first record?
A: -5.17 eV per atom